(1)
## CdFe2Br (PBE-GGA)

Data for crystalline CdFe2Br at its relaxed geometry.

Properties
Calculated volume   17.894 Å³/atom
Formation energy (no corrections)   0.62 eV/atom
Energy above the most stable polymorph in this dataset   0.373 eV/atom
E   -0.15657 Ha/atom
DOS at the Fermi energy   0.813 states/eV per atom

a b c (Å): 3.0608 3.0608 8.5426
angles (deg): 90.00 90.00 116.58
Element x y z (fractional)
Cd 0.0000 0.0000 0.0000
Fe 0.5000 0.5000 0.2618
Fe 0.5000 0.5000 0.7382
Br 0.0000 0.0000 0.5000

(2)
## CdFe2Br (PBE-GGA)

Data for crystalline CdFe2Br at its relaxed geometry.

Properties
Calculated volume   18.883 Å³/atom
Formation energy (no corrections)   0.76 eV/atom
Energy above the most stable polymorph in this dataset   0.520 eV/atom
E   -0.15119 Ha/atom
DOS at the Fermi energy   1.348 states/eV per atom

a b c (Å): 5.8499 5.8499 5.8499
angles (deg): 105.06 105.06 118.71
Element x y z (fractional)
Cd 0.0000 0.0000 0.0000
Cd 0.7500 0.2500 0.5000
Fe 0.1530 0.6250 0.0280
Fe 0.3750 0.4030 0.5280
Fe 0.5970 0.1250 0.9720
Fe 0.8750 0.8470 0.4720
Br 0.2500 0.7500 0.5000
Br 0.5000 0.5000 0.0000

(3)
## CdFeBr5 (PBE-GGA)

Data for crystalline CdFeBr5 at its relaxed geometry.

Properties
Calculated volume   42.868 Å³/atom
Formation energy (no corrections)   -0.53 eV/atom
E   -0.11270 Ha/atom

a b c (Å): 16.4347 7.6116 9.5952
angles (deg): 90.00 90.00 90.00
Element x y z (fractional)
Cd 0.0005 0.2500 0.1949
Cd 0.4995 0.7500 0.6949
Cd 0.5005 0.2500 0.3051
Cd 0.9995 0.7500 0.8051
Fe 0.1527 0.7500 0.4402
Fe 0.3473 0.2500 0.9402
Fe 0.6527 0.7500 0.0598
Fe 0.8473 0.2500 0.5598
Br 0.0000 0.0000 0.0000
Br 0.0000 0.5000 0.0000
Br 0.0895 0.0156 0.3721
Br 0.0895 0.4844 0.3721
Br 0.1495 0.7500 0.6944
Br 0.2131 0.2500 0.8770
Br 0.2869 0.7500 0.3770
Br 0.3505 0.2500 0.1944
Br 0.4105 0.5156 0.8721
Br 0.4105 0.9844 0.8721
Br 0.5000 0.0000 0.5000
Br 0.5000 0.5000 0.5000
Br 0.5895 0.0156 0.1279
Br 0.5895 0.4844 0.1279
Br 0.6495 0.7500 0.8056
Br 0.7131 0.2500 0.6230
Br 0.7869 0.7500 0.1230
Br 0.8505 0.2500 0.3056
Br 0.9105 0.5156 0.6279
Br 0.9105 0.9844 0.6279

(4)
## Cd2FeBr (PBE-GGA)

Data for crystalline Cd2FeBr at its relaxed geometry.

Properties
Calculated volume   21.472 Å³/atom
Formation energy (no corrections)   0.21 eV/atom
Energy above the most stable polymorph in this dataset   0.080 eV/atom
E   -0.10226 Ha/atom
DOS at the Fermi energy   0.553 states/eV per atom

a b c (Å): 8.8466 8.8466 8.8466
angles (deg): 22.10 22.10 22.10
Element x y z (fractional)
Cd 0.2441 0.2441 0.2441
Cd 0.7559 0.7559 0.7559
Fe 0.5000 0.5000 0.5000
Br 0.0000 0.0000 0.0000

(5)
## CdFeBr (PBE-GGA)

Data for crystalline CdFeBr at its relaxed geometry.

Properties
Calculated volume   23.065 Å³/atom
Formation energy (no corrections)   0.59 eV/atom
Energy above the most stable polymorph in this dataset   0.442 eV/atom
E   -0.11381 Ha/atom
DOS at the Fermi energy   1.513 states/eV per atom

a b c (Å): 4.6082 4.6082 4.6082
angles (deg): 60.00 60.00 60.00
Element x y z (fractional)
Cd 0.0000 0.0000 0.0000
Fe 0.7500 0.7500 0.7500
Br 0.5000 0.5000 0.5000

(6)
## CdFeH2Br (PBE-GGA)

Data for crystalline CdFeH2Br at its relaxed geometry.

Properties
Calculated volume   17.515 Å³/atom
E   -0.09763 Ha/atom
DOS at the Fermi energy   0.522 states/eV per atom

a b c (Å): 3.6964 3.6964 6.4094
angles (deg): 90.00 90.00 90.00
Element x y z (fractional)
Cd 0.0000 0.0000 0.0000
Fe 0.5000 0.5000 0.0000
H 0.0000 0.5000 0.5000
H 0.5000 0.0000 0.5000
Br 0.5000 0.5000 0.5000

(7)
## CdFe2I6Br2 (PBE-GGA)

Data for crystalline CdFe2I6Br2 at its relaxed geometry.

Properties
Calculated volume   44.088 Å³/atom
Formation energy (no corrections)   -0.31 eV/atom
E   -0.11334 Ha/atom

a b c (Å): 7.3605 7.3605 10.3363
angles (deg): 90.00 90.00 120.00
Element x y z (fractional)
Cd 0.0000 0.0000 0.0000
Fe 0.3333 0.6667 0.7476
Fe 0.6667 0.3333 0.2524
I 0.0000 0.3324 0.1741
I 0.0000 0.6676 0.8259
I 0.3323 0.0000 0.1741
I 0.3324 0.3323 0.8259
I 0.6677 0.0000 0.8259
I 0.6676 0.6677 0.1741
Br 0.3333 0.6667 0.5257
Br 0.6667 0.3333 0.4743

(8)
## KCdFe2Br8 (PBE-GGA)

Data for crystalline KCdFe2Br8 at its relaxed geometry.

Properties
Calculated volume   35.097 Å³/atom
Formation energy (no corrections)   -0.76 eV/atom
E   -0.12705 Ha/atom
DOS at the Fermi energy   0.646 states/eV per atom

a b c (Å): 6.8117 6.8117 9.7328
angles (deg): 94.27 94.27 69.47
Element x y z (fractional)
K 0.0000 0.0000 0.0000
Cd 0.0000 0.0000 0.5000
Fe 0.3782 0.3782 0.7185
Fe 0.6218 0.6218 0.2815
Br 0.2413 0.7381 0.2853
Br 0.2497 0.2497 0.5088
Br 0.2619 0.7587 0.7147
Br 0.2956 0.2956 0.9315
Br 0.7044 0.7044 0.0685
Br 0.7381 0.2413 0.2853
Br 0.7503 0.7503 0.4912
Br 0.7587 0.2619 0.7147

(9)
## KCdFeBr5 (PBE-GGA)

Data for crystalline KCdFeBr5 at its relaxed geometry.

Properties
Calculated volume   33.555 Å³/atom
Formation energy (no corrections)   -0.89 eV/atom
E   -0.11943 Ha/atom
DOS at the Fermi energy   0.712 states/eV per atom

a b c (Å): 7.7876 7.7876 9.9707
angles (deg): 103.46 103.46 105.77
Element x y z (fractional)
K 0.1504 0.8496 0.7500
K 0.8496 0.1504 0.2500
Cd 0.5000 0.5000 0.0000
Cd 0.5000 0.5000 0.5000
Fe 0.1845 0.8155 0.2500
Fe 0.8155 0.1845 0.7500
Br 0.1104 0.2495 0.9375
Br 0.1742 0.5853 0.3799
Br 0.2495 0.1104 0.4375
Br 0.4150 0.5850 0.7500
Br 0.4147 0.8258 0.1201
Br 0.5853 0.1742 0.8799
Br 0.5850 0.4150 0.2500
Br 0.7505 0.8896 0.5625
Br 0.8258 0.4147 0.6201
Br 0.8896 0.7505 0.0625

(10)
## KCd2FeBr8 (PBE-GGA)

Data for crystalline KCd2FeBr8 at its relaxed geometry.

Properties
Calculated volume   32.125 Å³/atom
Formation energy (no corrections)   -0.76 eV/atom
E   -0.10370 Ha/atom
DOS at the Fermi energy   0.582 states/eV per atom

a b c (Å): 6.6367 6.6367 9.4327
angles (deg): 93.09 93.09 68.41
Element x y z (fractional)
K 0.0000 0.0000 0.0000
Cd 0.3601 0.3601 0.6993
Cd 0.6399 0.6399 0.3007
Fe 0.0000 0.0000 0.5000
Br 0.1989 0.7405 0.3142
Br 0.2167 0.2167 0.4630
Br 0.2595 0.8011 0.6858
Br 0.3096 0.3096 0.9590
Br 0.6904 0.6904 0.0410
Br 0.7405 0.1989 0.3142
Br 0.7833 0.7833 0.5370
Br 0.8011 0.2595 0.6858

(11)
## NaCd2FeBr (PBE-GGA)

Data for crystalline NaCd2FeBr at its relaxed geometry.

Properties
Calculated volume   33.057 Å³/atom
Formation energy (no corrections)   0.82 eV/atom
E   -0.06746 Ha/atom
DOS at the Fermi energy   0.967 states/eV per atom

a b c (Å): 5.5811 5.5811 5.3064
angles (deg): 90.00 90.00 90.00
Element x y z (fractional)
Na 0.0000 0.0000 0.0000
Cd 0.0000 0.5000 0.0000
Cd 0.5000 0.0000 0.0000
Fe 0.0000 0.0000 0.5000
Br 0.5000 0.5000 0.5000

(12)
## Na2CdFeBr6 (PBE-GGA)

Data for crystalline Na2CdFeBr6 at its relaxed geometry.

Properties
Calculated volume   28.124 Å³/atom
Formation energy (no corrections)   -0.94 eV/atom
E   -0.11575 Ha/atom
DOS at the Fermi energy   0.635 states/eV per atom

a b c (Å): 7.5186 7.5186 7.5186
angles (deg): 57.21 57.21 57.21
Element x y z (fractional)
Na 0.0000 0.0000 0.0000
Na 0.4956 0.4956 0.4956
Cd 0.2024 0.2024 0.2024
Fe 0.6996 0.6996 0.6996
Br 0.0551 0.4457 0.8184
Br 0.3339 0.9216 0.5779
Br 0.4457 0.8184 0.0551
Br 0.5779 0.3339 0.9216
Br 0.8184 0.0551 0.4457
Br 0.9216 0.5779 0.3339

(13)
## CdFePt2Br (PBE-GGA)

Data for crystalline CdFePt2Br at its relaxed geometry.

Properties
Calculated volume   26.317 Å³/atom
Formation energy (no corrections)   1.39 eV/atom
E   -0.11880 Ha/atom
DOS at the Fermi energy   2.296 states/eV per atom

a b c (Å): 5.0502 5.0502 5.1592
angles (deg): 90.00 90.00 90.00
Element x y z (fractional)
Cd 0.0000 0.0000 0.0000
Fe 0.5000 0.5000 0.5000
Pt 0.0000 0.5000 0.0000
Pt 0.5000 0.0000 0.0000
Br 0.0000 0.0000 0.5000